## w
DFT (GGA-PBEsol) results for an optimized crystal structure of ScPtAu.

The structure in POSCAR format:
```
ScPtAu
1.0
3.443 0.000 0.000
0.000 3.443 0.000
0.000 0.000 8.705
Sc Pt Au
2 2 2
Cartesian
0.000 0.000 0.000 Sc
1.721 1.721 4.353 Sc
0.000 0.000 5.675 Pt
1.721 1.721 1.322 Pt
0.000 0.000 2.861 Au
1.721 1.721 7.213 Au
```

Space-group type: I4mm

=====

## x
DFT (GGA-PBEsol) results for an optimized crystal structure of ScPtAu.

The structure in POSCAR format:
```
ScPtAu
1.0
4.519 0.000 0.000
-2.260 3.914 0.000
0.000 0.000 2.879
Sc Pt Au
1 1 1
Cartesian
0.000 0.000 0.000 Sc
2.260 1.305 2.003 Pt
0.000 2.609 1.074 Au
```

Space-group type: P3m1

=====

The winner here is w, beating the second structure by 17.6 kJ/mol of atoms.

=====

## w
DFT (GGA-PBEsol) results for an optimized crystal structure of Si2PtAu.

The structure in POSCAR format:
```
Si2PtAu
1.0
4.227 0.000 0.000
0.000 4.227 0.000
0.000 0.000 6.772
Si Pt Au
4 2 2
Cartesian
0.000 2.114 1.693 Si
0.000 2.114 5.079 Si
2.114 0.000 1.693 Si
2.114 0.000 5.079 Si
0.000 0.000 0.000 Pt
2.114 2.114 3.386 Pt
0.000 0.000 3.386 Au
2.114 2.114 0.000 Au
```

Space-group type: I4/mmm

=====

## x
DFT (GGA-PBEsol) results for an optimized crystal structure of Si2PtAu.

The structure in POSCAR format:
```
Si2PtAu
1.0
3.877 0.000 0.000
0.000 3.877 0.000
0.000 0.000 8.018
Si Pt Au
4 2 2
Cartesian
0.000 0.000 0.000 Si
0.000 1.938 2.004 Si
1.938 0.000 6.013 Si
1.938 1.938 4.009 Si
0.000 1.938 6.013 Pt
1.938 0.000 2.004 Pt
0.000 0.000 4.009 Au
1.938 1.938 0.000 Au
```

Space-group type: I-4m2

=====

The winner here is w, beating the second structure by 0.7 kJ/mol of atoms.

=====

## w
DFT (GGA-PBEsol) results for an optimized crystal structure of TaPtAu2.

The structure in POSCAR format:
```
TaPtAu2
1.0
3.499 0.000 0.000
0.000 3.499 0.000
0.000 0.000 5.431
Ta Pt Au
1 1 2
Cartesian
0.000 0.000 0.000 Ta
0.000 0.000 2.716 Pt
1.750 1.750 1.360 Au
1.750 1.750 4.071 Au
```

Space-group type: P4/mmm

=====

## x
DFT (GGA-PBEsol) results for an optimized crystal structure of TaPtAu2.

The structure in POSCAR format:
```
TaPtAu2
1.0
2.869 0.000 0.000
0.000 2.869 0.000
0.000 0.000 7.991
Ta Pt Au
1 1 2
Cartesian
0.000 0.000 0.000 Ta
1.435 1.435 6.151 Pt
0.000 0.000 4.089 Au
1.435 1.435 2.002 Au
```

Space-group type: P4mm

=====

The winner here is x, beating the second structure by 20.7 kJ/mol of atoms.

=====

## w
DFT (GGA-PBEsol) results for an optimized crystal structure of TcPtAu2.

The structure in POSCAR format:
```
TcPtAu2
1.0
2.699 0.000 0.000
0.000 4.791 0.000
-0.022 0.000 4.877
Tc Pt Au
1 1 2
Cartesian
0.000 0.000 0.000 Tc
1.339 0.000 2.438 Pt
0.687 2.396 1.207 Au
1.991 2.396 3.670 Au
```

Space-group type: P2/m

=====

## x
DFT (GGA-PBEsol) results for an optimized crystal structure of TcPtAu2.

The structure in POSCAR format:
```
TcPtAu2
1.0
2.772 0.000 0.000
0.000 3.810 0.000
0.000 0.000 5.964
Tc Pt Au
1 1 2
Cartesian
0.000 0.000 0.000 Tc
1.386 1.905 4.769 Pt
0.000 0.000 3.142 Au
1.386 1.905 1.584 Au
```

Space-group type: Pmm2

=====

## y
DFT (GGA-PBEsol) results for an optimized crystal structure of TcPtAu2.

The structure in POSCAR format:
```
TcPtAu2
1.0
6.317 0.000 0.000
0.000 6.317 0.000
0.000 0.000 6.317
Tc Pt Au
4 4 8
Cartesian
0.000 0.000 0.000 Tc
0.000 3.158 3.158 Tc
3.158 0.000 3.158 Tc
3.158 3.158 0.000 Tc
0.000 0.000 3.158 Pt
0.000 3.158 0.000 Pt
3.158 0.000 0.000 Pt
3.158 3.158 3.158 Pt
1.579 1.579 1.579 Au
1.579 1.579 4.737 Au
1.579 4.737 1.579 Au
1.579 4.737 4.737 Au
4.737 1.579 1.579 Au
4.737 1.579 4.737 Au
4.737 4.737 1.579 Au
4.737 4.737 4.737 Au
```

Space-group type: Fm-3m

=====

The winner here is x, beating the second structure by 14.5 kJ/mol of atoms.

=====

## w
DFT (GGA-PBEsol) results for an optimized crystal structure of Re2RhAu.

The structure in POSCAR format:
```
Re2RhAu
1.0
3.807 0.000 0.000
0.000 3.807 0.000
0.000 0.000 4.042
Re Rh Au
2 1 1
Cartesian
0.000 1.903 0.000 Re
1.903 0.000 0.000 Re
0.000 0.000 2.021 Rh
1.903 1.903 2.021 Au
```

Space-group type: P4/mmm

=====

## x
DFT (GGA-PBEsol) results for an optimized crystal structure of Re2RhAu.

The structure in POSCAR format:
```
Re2RhAu
1.0
2.710 0.000 0.000
0.000 3.912 0.000
0.000 0.000 5.558
Re Rh Au
2 1 1
Cartesian
0.000 0.000 0.000 Re
1.355 1.956 1.286 Re
0.000 0.000 2.632 Rh
1.355 1.956 4.063 Au
```

Space-group type: Pmm2

=====

The winner here is x, beating the second structure by 15.3 kJ/mol of atoms.

=====

## w
DFT (GGA-PBEsol) results for an optimized crystal structure of ReSb2Au.

The structure in POSCAR format:
```
ReSb2Au
1.0
3.163 0.000 0.000
0.000 5.175 0.000
0.000 0.000 10.071
Re Sb Au
2 4 2
Cartesian
0.000 0.000 0.000 Re
1.581 2.587 0.000 Re
0.000 0.000 5.480 Sb
0.000 2.587 2.185 Sb
1.581 0.000 2.185 Sb
1.581 2.587 5.480 Sb
0.000 2.587 7.855 Au
1.581 0.000 7.855 Au
```

Space-group type: Cmm2

=====

## x
DFT (GGA-PBEsol) results for an optimized crystal structure of ReSb2Au.

The structure in POSCAR format:
```
ReSb2Au
1.0
3.147 0.000 0.000
0.000 4.139 0.000
0.000 0.000 12.812
Re Sb Au
2 4 2
Cartesian
0.000 0.000 0.000 Re
1.574 2.070 6.406 Re
0.000 0.000 5.702 Sb
0.000 2.070 8.596 Sb
1.574 0.000 2.190 Sb
1.574 2.070 12.108 Sb
0.000 2.070 3.713 Au
1.574 0.000 10.119 Au
```

Space-group type: Imm2

=====

The winner here is x, beating the second structure by 16.3 kJ/mol of atoms.

=====

## w
DFT (GGA-PBEsol) results for an optimized crystal structure of SrReAu2.

The structure in POSCAR format:
```
SrReAu2
1.0
6.862 0.000 0.000
0.000 6.862 0.000
0.000 0.000 6.862
Sr Re Au
4 4 8
Cartesian
0.000 0.000 0.000 Sr
0.000 3.431 3.431 Sr
3.431 0.000 3.431 Sr
3.431 3.431 0.000 Sr
0.000 0.000 3.431 Re
0.000 3.431 0.000 Re
3.431 0.000 0.000 Re
3.431 3.431 3.431 Re
1.716 1.716 1.716 Au
1.716 1.716 5.147 Au
1.716 5.147 1.716 Au
1.716 5.147 5.147 Au
5.147 1.716 1.716 Au
5.147 1.716 5.147 Au
5.147 5.147 1.716 Au
5.147 5.147 5.147 Au
```

Space-group type: Fm-3m

=====

## x
DFT (GGA-PBEsol) results for an optimized crystal structure of SrReAu2.

The structure in POSCAR format:
```
SrReAu2
1.0
5.037 0.000 0.000
0.000 5.037 0.000
0.000 0.000 2.973
Sr Re Au
1 1 2
Cartesian
0.000 0.000 0.000 Sr
2.519 2.519 0.000 Re
0.000 2.519 1.487 Au
2.519 0.000 1.487 Au
```

Space-group type: P4/mmm

=====

The winner here is x, beating the second structure by 21.1 kJ/mol of atoms.

=====

## w
DFT (GGA-PBEsol) results for an optimized crystal structure of Ta2ReAu.

The structure in POSCAR format:
```
Ta2ReAu
1.0
3.530 0.000 0.000
0.000 4.336 0.000
0.000 0.000 8.659
Ta Re Au
4 2 2
Cartesian
0.000 0.000 0.000 Ta
0.000 2.168 2.162 Ta
1.765 0.000 6.492 Ta
1.765 2.168 4.330 Ta
0.000 0.000 4.500 Re
1.765 2.168 0.170 Re
0.000 2.168 6.581 Au
1.765 0.000 2.252 Au
```

Space-group type: Imm2

=====

## x
DFT (GGA-PBEsol) results for an optimized crystal structure of Ta2ReAu.

The structure in POSCAR format:
```
Ta2ReAu
1.0
2.817 0.000 0.000
-1.408 2.439 0.000
0.000 0.000 29.186
Ta Re Au
6 3 3
Cartesian
0.000 0.000 0.000 Ta
0.000 0.000 7.162 Ta
0.000 1.626 19.457 Ta
0.000 1.626 26.620 Ta
1.408 0.813 9.729 Ta
1.408 0.813 16.891 Ta
0.000 0.000 14.503 Re
0.000 1.626 4.774 Re
1.408 0.813 24.231 Re
0.000 0.000 21.869 Au
0.000 1.626 12.140 Au
1.408 0.813 2.412 Au
```

Space-group type: R3m

=====

The winner here is w, beating the second structure by 23.1 kJ/mol of atoms.

=====

## w
DFT (GGA-PBEsol) results for an optimized crystal structure of TaReAu.

The structure in POSCAR format:
```
TaReAu
1.0
2.737 0.000 0.000
0.000 2.737 0.000
0.000 0.000 12.924
Ta Re Au
2 2 2
Cartesian
0.000 0.000 0.000 Ta
1.368 1.368 6.462 Ta
0.000 0.000 8.619 Re
1.368 1.368 2.157 Re
0.000 0.000 4.285 Au
1.368 1.368 10.747 Au
```

Space-group type: I4mm

=====

## x
DFT (GGA-PBEsol) results for an optimized crystal structure of TaReAu.

The structure in POSCAR format:
```
TaReAu
1.0
3.307 0.000 0.000
0.000 4.399 0.000
0.000 0.000 13.397
Ta Re Au
4 4 4
Cartesian
0.000 0.000 0.000 Ta
0.000 2.199 6.699 Ta
1.654 0.000 6.699 Ta
1.654 2.199 0.000 Ta
0.000 0.000 4.582 Re
0.000 2.199 11.281 Re
1.654 0.000 11.281 Re
1.654 2.199 4.582 Re
0.000 0.000 8.973 Au
0.000 2.199 2.274 Au
1.654 0.000 2.274 Au
1.654 2.199 8.973 Au
```

Space-group type: Fmm2

=====

The winner here is x, beating the second structure by 7.2 kJ/mol of atoms.

=====

## w
DFT (GGA-PBEsol) results for an optimized crystal structure of Tl2ReAu.

The structure in POSCAR format:
```
Tl2ReAu
1.0
6.180 0.000 0.000
0.000 9.641 0.000
-1.401 0.000 2.602
Tl Re Au
4 2 2
Cartesian
1.545 2.410 0.000 Tl
1.545 7.231 0.000 Tl
4.635 2.410 0.000 Tl
4.635 7.231 0.000 Tl
0.000 0.000 0.000 Re
3.090 4.820 0.000 Re
0.000 4.820 0.000 Au
3.090 0.000 0.000 Au
```

Space-group type: C2/m

=====

## x
DFT (GGA-PBEsol) results for an optimized crystal structure of Tl2ReAu.

The structure in POSCAR format:
```
Tl2ReAu
1.0
4.020 0.000 0.000
0.000 4.020 0.000
0.000 0.000 9.522
Tl Re Au
4 2 2
Cartesian
0.000 0.000 0.000 Tl
0.000 2.010 2.380 Tl
2.010 0.000 7.141 Tl
2.010 2.010 4.761 Tl
0.000 2.010 7.141 Re
2.010 0.000 2.380 Re
0.000 0.000 4.761 Au
2.010 2.010 0.000 Au
```

Space-group type: I-4m2

=====

The winner here is w, beating the second structure by 5.0 kJ/mol of atoms.

=====

## w
DFT (GGA-PBEsol) results for an optimized crystal structure of Re2WAu.

The structure in POSCAR format:
```
Re2WAu
1.0
6.276 0.000 0.000
0.000 6.276 0.000
0.000 0.000 6.276
Re W Au
8 4 4
Cartesian
0.000 0.000 0.000 Re
0.000 3.138 3.138 Re
1.569 1.569 1.569 Re
1.569 4.707 4.707 Re
3.138 0.000 3.138 Re
3.138 3.138 0.000 Re
4.707 1.569 4.707 Re
4.707 4.707 1.569 Re
1.569 1.569 4.707 W
1.569 4.707 1.569 W
4.707 1.569 1.569 W
4.707 4.707 4.707 W
0.000 0.000 3.138 Au
0.000 3.138 0.000 Au
3.138 0.000 0.000 Au
3.138 3.138 3.138 Au
```

Space-group type: F-43m

=====

## x
DFT (GGA-PBEsol) results for an optimized crystal structure of Re2WAu.

The structure in POSCAR format:
```
Re2WAu
1.0
2.812 0.000 0.000
0.000 3.933 0.000
0.000 0.000 5.601
Re W Au
2 1 1
Cartesian
0.000 0.000 1.273 Re
0.000 0.000 4.329 Re
1.406 1.966 0.000 W
1.406 1.966 2.801 Au
```

Space-group type: Pmmm

=====

## y
DFT (GGA-PBEsol) results for an optimized crystal structure of Re2WAu.

The structure in POSCAR format:
```
Re2WAu
1.0
2.772 0.000 0.000
-1.386 2.401 0.000
0.000 0.000 27.777
Re W Au
6 3 3
Cartesian
0.000 0.000 0.000 Re
0.000 0.000 7.144 Re
0.000 1.600 18.518 Re
0.000 1.600 25.662 Re
1.386 0.800 9.259 Re
1.386 0.800 16.403 Re
0.000 0.000 20.836 W
0.000 1.600 11.577 W
1.386 0.800 2.318 W
0.000 0.000 13.978 Au
0.000 1.600 4.720 Au
1.386 0.800 23.237 Au
```

Space-group type: R3m

=====

The winner here is y, beating the second structure by 8.7 kJ/mol of atoms.

=====

## w
DFT (GGA-PBEsol) results for an optimized crystal structure of YRe2Au.

The structure in POSCAR format:
```
YRe2Au
1.0
3.924 0.000 0.000
0.000 3.924 0.000
0.000 0.000 4.476
Y Re Au
1 2 1
Cartesian
0.000 0.000 0.000 Y
0.000 1.962 2.238 Re
1.962 0.000 2.238 Re
1.962 1.962 0.000 Au
```

Space-group type: P4/mmm

=====

## x
DFT (GGA-PBEsol) results for an optimized crystal structure of YRe2Au.

The structure in POSCAR format:
```
YRe2Au
1.0
2.661 0.000 0.000
0.000 4.404 0.000
0.000 0.000 6.055
Y Re Au
1 2 1
Cartesian
0.000 0.000 0.000 Y
1.330 2.202 1.765 Re
1.330 2.202 4.290 Re
0.000 0.000 3.027 Au
```

Space-group type: Pmmm

=====

## y
DFT (GGA-PBEsol) results for an optimized crystal structure of YRe2Au.

The structure in POSCAR format:
```
YRe2Au
1.0
3.024 0.000 0.000
0.000 4.945 0.000
-0.257 0.000 4.755
Y Re Au
1 2 1
Cartesian
0.000 0.000 0.000 Y
0.787 2.472 3.609 Re
1.979 2.472 1.146 Re
1.383 0.000 2.378 Au
```

Space-group type: P2/m

=====

## z
DFT (GGA-PBEsol) results for an optimized crystal structure of YRe2Au.

The structure in POSCAR format:
```
YRe2Au
1.0
2.751 0.000 0.000
0.000 2.751 0.000
0.000 0.000 9.058
Y Re Au
1 2 1
Cartesian
0.000 0.000 0.000 Y
1.376 1.376 2.432 Re
1.376 1.376 6.626 Re
0.000 0.000 4.529 Au
```

Space-group type: P4/mmm

=====

The winner here is w, beating the second structure by 3.3 kJ/mol of atoms.